This record from Alexandria via LeMat-Bulk describes a geometry-optimized Ac3Cl8 structure. The functional is PBE.

Geometry as extended XYZ:
```
11
Lattice="7.069 0.000 0.001 0.001 7.069 0.001 0.000 0.000 7.069" Properties=species:S:1:pos:R:3 pbc="T T T"
Cl 1.806 1.805 1.806
Cl 5.264 5.263 5.265
Cl 1.806 5.264 1.806
Cl 5.264 5.264 1.806
Cl 5.264 1.805 5.265
Cl 5.264 1.805 1.806
Cl 1.805 1.805 5.264
Cl 1.805 5.264 5.265
Ac 3.534 0.000 3.535
Ac 0.000 3.534 3.535
Ac 3.535 3.534 0.001
```

Computed properties:
SG: Pm-3m, No. 221
Fermi-level density of states, states/eV/f.u.: 5.2
V, Å³/atom: 32.11
ΔE_f (raw), eV per atom: -2.2847
Raw total energy, eV/atom: -4.75